No. 1
The following is a DFT calculation (PBE) of a relaxed Ce2PuIn crystal.

Structure (POSCAR):
```
Ce2PuIn
1.0
4.888 0.000 0.000
0.000 4.888 0.000
0.000 0.000 4.570
Ce Pu In
2 1 1
Cartesian
0.000 2.444 0.000 Ce
2.444 0.000 0.000 Ce
0.000 0.000 2.285 Pu
2.444 2.444 2.285 In
```

## Properties
- energy above the lowest structure with this stoichiometry (meV/atom) = 0
- theoretical density (g/cm3) = 9.72
- crystal system = tetragonal
- energy of formation (eV/atom) = -0.179
- density of states at the Fermi level (states/eV per cell) = 9.47

No. 2
The following is a DFT calculation (PBE) of a relaxed Ce8PuIn2 crystal.

Structure (POSCAR):
```
Ce8PuIn2
1.0
6.880 -3.563 0.000
6.880 3.563 0.000
-0.535 0.000 6.262
Ce Pu In
8 1 2
Cartesian
-0.104 0.000 1.436 Ce
4.966 1.699 2.243 Ce
8.261 1.699 4.019 Ce
5.263 0.000 5.245 Ce
7.963 0.000 1.017 Ce
4.966 -1.699 2.243 Ce
8.261 -1.699 4.019 Ce
13.330 0.000 4.826 Ce
6.613 0.000 3.131 Pu
2.825 0.000 0.434 In
10.402 0.000 5.828 In
```

## Properties
- theoretical density (g/cm3) = 8.62
- crystal system = monoclinic
- energy of formation (eV/atom) = -0.088
- density of states at the Fermi level (states/eV per cell) = 24.02

Among the records above, which one has the lowest density of states at the Fermi level?
Ce2PuIn

The lowest energy of formation belongs to which entry?
Ce2PuIn

The highest theoretical density belongs to which entry?
Ce2PuIn

Repeat the second record exactly.
The following is a DFT calculation (PBE) of a relaxed Ce8PuIn2 crystal.

Structure (POSCAR):
```
Ce8PuIn2
1.0
6.880 -3.563 0.000
6.880 3.563 0.000
-0.535 0.000 6.262
Ce Pu In
8 1 2
Cartesian
-0.104 0.000 1.436 Ce
4.966 1.699 2.243 Ce
8.261 1.699 4.019 Ce
5.263 0.000 5.245 Ce
7.963 0.000 1.017 Ce
4.966 -1.699 2.243 Ce
8.261 -1.699 4.019 Ce
13.330 0.000 4.826 Ce
6.613 0.000 3.131 Pu
2.825 0.000 0.434 In
10.402 0.000 5.828 In
```

## Properties
- theoretical density (g/cm3) = 8.62
- crystal system = monoclinic
- energy of formation (eV/atom) = -0.088
- density of states at the Fermi level (states/eV per cell) = 24.02